Density functional theory data (GGA-PBE) for an optimized crystal structure of Na3Ac2SmO6.

The structure in POSCAR format:
```
Na3Ac2SmO6
1.0
3.2127 -5.6101 0.0000
3.2127 5.6101 0.0000
-2.0622 0.0000 5.6848
Na Ac Sm O
3 2 1 6
Cartesian
0.0000 0.0000 0.0000 Na
3.2127 1.6744 0.0000 Na
3.2127 -1.6744 0.0000 Na
2.1816 3.7299 2.8424 Ac
2.1816 -3.7299 2.8424 Ac
2.1816 0.0000 2.8424 Sm
1.1660 1.7702 1.6085 O
0.1380 0.0000 4.0798 O
1.1660 -1.7702 1.6085 O
3.1972 1.7702 4.0763 O
4.2253 0.0000 1.6049 O
3.1972 -1.7702 4.0763 O
```

Calculated values
**Uncorrected formation energy**: -2.569 eV per atom


Density functional theory data (GGA-PBE) for an optimized crystal structure of DyUGa.

The structure in POSCAR format:
```
DyUGa
1.0
0.0000 4.2621 6.2568
2.7627 0.0000 6.2568
2.7627 4.2621 0.0000
Dy U Ga
2 2 2
Cartesian
2.7627 1.4960 6.2568 Dy
2.7627 7.0282 6.2568 Dy
1.3813 2.1310 3.1284 U
4.1440 6.3931 9.3852 U
2.7627 4.2621 4.9313 Ga
2.7627 4.2621 7.5823 Ga
```

Calculated values
**E_form**: 0.15 eV per atom